Below is Li2VPO4 after structural relaxation, with properties calculated at the GGA+U level.

Output
SG: Fmm2
E_tot: -6.334 eV/atom

Cell: 4.9630 4.4306 5.0669 Å, 62.59 52.42 65.00°
Fractional coordinates of all 8 atoms:
Li 0.0000 0.0000 0.5000
Li 0.5000 0.5000 0.0000
V 0.2555 0.2555 0.7445
P 0.7276 0.7276 0.2724
O 0.3551 0.7407 0.6449
O 0.4786 0.9848 0.0152
O 0.7407 0.3551 0.2593
O 0.9848 0.4786 0.5214